The following is a PBE-GGA calculation of a geometry-optimized Ba7Mg2Zn2 structure, from Alexandria via LeMat-Bulk.

Unit cell a=9.4769 b=13.2379 c=8.4808 alpha=90.00 beta=90.00 gamma=90.00
Closest atoms and distances in Å follow each position.
Space group Cmmm (No. 65)
One atom of each set of equivalent atoms:
Ba 0.0000 0.0000 0.0000 x2  2 Zn 3.86
Ba 0.0000 0.5000 0.2452 x4  2 Zn 3.45
Ba 0.2500 0.2500 0.2620 x8  2 Zn 3.30
Mg 0.1608 0.0000 0.5000 x4  1 Mg 3.05
Zn 0.0000 0.2919 0.0000 x4  6 Ba 3.30-3.45

Computed properties:
D(E_F) ... 18.3 states/eV/f.u.
Crystal system ... orthorhombic
Energy of formation from the pure elements ... 38 meV per atom